<i>
Sn2Hg2Pb7 after structural relaxation, computed with PBE-GGA.

The structure in extended XYZ format:
```
11
Lattice="-2.261 -6.367 1.918 0.047 -0.526 -7.099 7.050 -0.651 0.740" Properties=species:S:1:pos:R:3 pbc="T T T"
Sn 4.226 -3.804 -0.197
Sn 0.611 -3.739 -4.244
Hg 0.214 -3.315 -0.244
Hg 4.623 -4.228 -4.197
Pb 2.859 -1.894 -5.664
Pb -1.083 -5.594 -2.202
Pb 1.978 -5.649 1.224
Pb 5.919 -1.949 -2.239
Pb 0.000 0.000 0.000
Pb 2.444 -5.746 -2.275
Pb 2.392 -1.797 -2.166
```

* crystal system: monoclinic

***

<ii>
Sn2Hg2Pb7 after structural relaxation, computed with PBE-GGA.

The structure in extended XYZ format:
```
11
Lattice="0.905 -4.320 4.905 6.284 2.011 -0.008 -3.762 6.112 3.759" Properties=species:S:1:pos:R:3 pbc="T T T"
Sn 1.257 3.578 5.987
Sn 2.170 0.226 2.668
Hg 2.874 3.267 3.268
Hg 0.554 0.536 5.387
Pb 3.246 -1.757 4.974
Pb -1.909 3.101 5.590
Pb 0.181 5.561 3.681
Pb 5.337 0.703 3.065
Pb 0.000 0.000 0.000
Pb 3.828 1.527 6.160
Pb -0.401 2.277 2.495
```

* crystal system: monoclinic

***

On energetic grounds, <ii> is preferred over the next structure by 21 meV per atom.

***

<i>
SrSnHgPb after structural relaxation, computed with PBE-GGA.

The structure in extended XYZ format:
```
4
Lattice="5.598 0.000 0.000 2.799 4.848 0.000 2.799 1.616 4.571" Properties=species:S:1:pos:R:3 pbc="T T T"
Pb 0.000 0.000 0.000
Sr 5.598 3.232 2.285
Hg 8.397 4.848 3.428
Sn 2.799 1.616 1.143
```

* crystal system: cubic

***

<ii>
SrSnHgPb after structural relaxation, computed with PBE-GGA.

The structure in extended XYZ format:
```
4
Lattice="-3.489 3.264 0.894 -1.665 -2.793 3.697 2.973 2.330 3.100" Properties=species:S:1:pos:R:3 pbc="T T T"
Sr -0.258 2.797 1.997
Sn 0.000 0.000 0.000
Hg -2.577 0.235 2.295
Pb 0.654 -0.232 3.398
```

* crystal system: orthorhombic

***

On energetic grounds, <i> is preferred over the next structure by 8 meV per atom.

***

<i>
SrHgPb3 after structural relaxation, computed with PBE-GGA.

The structure in extended XYZ format:
```
5
Lattice="6.222 0.000 0.000 0.000 6.222 0.000 0.000 0.000 6.222" Properties=species:S:1:pos:R:3 pbc="T T T"
Pb 0.000 3.111 0.000
Pb 0.000 0.000 3.111
Pb 3.111 0.000 0.000
Sr 0.000 0.000 0.000
Hg 3.111 3.111 3.111
```

* crystal system: cubic

***

<ii>
SrHgPb3 after structural relaxation, computed with PBE-GGA.

The structure in extended XYZ format:
```
10
Lattice="7.075 0.000 -0.001 0.001 7.022 0.000 -0.001 0.001 6.823" Properties=species:S:1:pos:R:3 pbc="T T T"
Sr 3.332 2.987 4.780
Sr 6.870 6.513 1.367
Hg 0.939 5.401 4.785
Hg 4.477 4.099 1.372
Pb 2.370 2.011 1.367
Pb 3.325 6.452 6.488
Pb 6.863 3.050 3.076
Pb 5.906 0.468 4.777
Pb 6.858 3.048 6.484
Pb 3.321 6.452 3.073
```

* crystal system: monoclinic

***

<iii>
SrHgPb3 after structural relaxation, computed with PBE-GGA.

The structure in extended XYZ format:
```
5
Lattice="-1.685 3.639 4.167 -0.482 -4.436 3.679 5.511 0.724 1.596" Properties=species:S:1:pos:R:3 pbc="T T T"
Pb -0.241 -2.218 1.839
Pb 2.756 0.362 0.798
Pb -0.842 1.820 2.083
Sr 1.672 -0.036 4.721
Hg 0.000 0.000 0.000
```

* crystal system: cubic

***

On energetic grounds, <ii> is preferred over the next structure by 293 meV per atom.

***

<i>
SrHgPb4 after structural relaxation, computed with PBE-GGA.

The structure in extended XYZ format:
```
6
Lattice="0.000 4.641 4.641 4.641 0.000 4.641 4.641 4.641 0.000" Properties=species:S:1:pos:R:3 pbc="T T T"
Sr 6.962 6.962 6.962
Hg 0.000 0.000 0.000
Pb 3.486 5.797 5.797
Pb 5.797 5.797 3.486
Pb 5.797 3.486 5.797
Pb 3.486 3.486 3.486
```

* crystal system: cubic

***

<ii>
SrHgPb4 after structural relaxation, computed with PBE-GGA.

The structure in extended XYZ format:
```
12
Lattice="-5.399 2.977 0.804 -1.750 -5.824 -1.293 3.924 -0.791 10.139" Properties=species:S:1:pos:R:3 pbc="T T T"
Sr -5.413 -2.010 -0.337
Sr -1.735 -0.837 -0.152
Hg -0.737 1.093 5.472
Hg 1.087 -3.307 4.423
Pb -0.494 0.453 8.575
Pb -4.259 0.429 2.134
Pb -2.730 -4.091 1.075
Pb 1.035 -4.067 7.515
Pb 2.048 -0.838 6.619
Pb -1.625 -1.552 3.233
Pb -5.272 -2.800 3.030
Pb -1.599 -2.086 6.417
```

* crystal system: monoclinic

***

On energetic grounds, <i> is preferred over the next structure by 15 meV per atom.

***

<i>
Sr2HgPb2 after structural relaxation, computed with PBE-GGA.

The structure in extended XYZ format:
```
10
Lattice="8.239 0.000 0.000 0.000 8.239 0.000 0.000 0.000 5.087" Properties=species:S:1:pos:R:3 pbc="T T T"
Pb 2.988 7.108 0.000
Pb 7.108 5.250 0.000
Pb 5.250 1.131 0.000
Pb 1.131 2.988 0.000
Sr 1.375 5.495 2.544
Sr 5.495 6.863 2.544
Sr 6.863 2.744 2.544
Sr 2.744 1.375 2.544
Hg 0.000 0.000 0.000
Hg 4.119 4.119 0.000
```

* crystal system: tetragonal

***

<ii>
Sr2HgPb2 after structural relaxation, computed with PBE-GGA.

The structure in extended XYZ format:
```
5
Lattice="6.569 0.000 0.000 0.000 6.569 0.000 3.285 3.285 4.672" Properties=species:S:1:pos:R:3 pbc="T T T"
Pb 3.285 3.285 1.511
Pb 6.569 6.569 3.161
Sr 6.569 3.285 2.336
Sr 3.285 6.569 2.336
Hg 0.000 0.000 0.000
```

* crystal system: tetragonal

***

<iii>
Sr2HgPb2 after structural relaxation, computed with PBE-GGA.

The structure in extended XYZ format:
```
5
Lattice="-0.293 4.399 0.537 -4.066 -0.053 -1.788 -5.920 0.880 7.917" Properties=species:S:1:pos:R:3 pbc="T T T"
Pb -4.196 3.727 3.915
Pb -6.082 1.501 2.752
Sr -2.927 1.915 1.082
Sr -7.352 3.312 5.585
Hg 0.000 0.000 0.000
```

* crystal system: tetragonal

***

On energetic grounds, <i> is preferred over the next structure by 171 meV per atom.

***

<i>
Sr2HgPb2 after structural relaxation, computed with PBE-GGA.

The structure in extended XYZ format:
```
10
Lattice="-2.835 -4.270 0.406 -0.272 -2.328 6.184 -10.285 3.881 1.559" Properties=species:S:1:pos:R:3 pbc="T T T"
Sr -5.411 -2.349 2.629
Sr -11.887 -1.074 3.369
Sr -7.981 -0.368 5.520
Sr -1.505 -1.643 4.779
Hg -8.705 -0.206 2.163
Hg -4.687 -2.511 5.986
Pb -5.973 1.105 2.472
Pb -11.182 -1.221 6.750
Pb -7.419 -3.822 5.677
Pb -2.210 -1.496 1.398
```

* crystal system: monoclinic

***

<ii>
Sr2HgPb2 after structural relaxation, computed with PBE-GGA.

The structure in extended XYZ format:
```
10
Lattice="9.161 0.000 0.000 0.000 9.161 0.000 0.000 0.000 4.411" Properties=species:S:1:pos:R:3 pbc="T T T"
Pb 1.082 5.662 2.206
Pb 5.662 8.079 2.206
Pb 8.079 3.499 2.206
Pb 3.499 1.082 2.206
Sr 2.944 7.524 0.000
Sr 7.524 6.217 0.000
Sr 6.217 1.637 0.000
Sr 1.637 2.944 0.000
Hg 0.000 0.000 0.000
Hg 4.580 4.580 0.000
```

* crystal system: tetragonal

***

On energetic grounds, <i> is preferred over the next structure by 127 meV per atom.

***

<i>
Sr3HgPb after structural relaxation, computed with PBE-GGA.

The structure in extended XYZ format:
```
10
Lattice="-3.029 1.782 2.166 0.068 -8.104 6.761 6.455 0.878 8.305" Properties=species:S:1:pos:R:3 pbc="T T T"
Sr 2.763 -0.931 11.426
Sr 1.735 -5.931 14.100
Sr -2.273 -3.370 6.381
Sr -0.505 0.406 1.819
Sr 0.323 -4.373 10.835
Sr 1.513 -1.826 6.475
Hg 0.540 -4.763 7.525
Hg 3.730 -0.269 8.300
Pb 3.766 -4.323 11.679
Pb -1.011 0.180 5.230
```

* crystal system: orthorhombic

***

<ii>
Sr3HgPb after structural relaxation, computed with PBE-GGA.

The structure in extended XYZ format:
```
10
Lattice="5.602 0.000 1.280 0.000 5.762 0.000 0.252 0.000 11.797" Properties=species:S:1:pos:R:3 pbc="T T T"
Sr 4.242 1.440 2.696
Sr 2.442 1.440 10.574
Sr 3.342 1.440 6.636
Sr 1.442 4.321 2.053
Sr 5.244 4.321 11.212
Sr 0.542 4.321 5.992
Hg 3.826 4.321 4.518
Hg 5.660 1.440 9.390
Pb 2.886 4.321 8.633
Pb 0.998 1.440 3.994
```

* crystal system: orthorhombic

***

<iii>
Sr3HgPb after structural relaxation, computed with PBE-GGA.

The structure in extended XYZ format:
```
5
Lattice="-4.895 3.302 -2.536 -2.302 -5.408 -2.598 -3.469 -1.070 5.302" Properties=species:S:1:pos:R:3 pbc="T T T"
Pb 0.000 0.000 0.000
Sr -1.151 -2.704 -1.299
Sr -1.734 -0.535 2.651
Sr -2.447 1.651 -1.268
Hg -5.333 -1.588 0.084
```

* crystal system: cubic

***

On energetic grounds, <ii> is preferred over the next structure by 127 meV per atom.

***

<i>
SrHg6Pb2 after structural relaxation, computed with PBE-GGA.

The structure in extended XYZ format:
```
9
Lattice="6.096 0.000 0.000 -3.048 5.279 0.000 0.000 0.000 9.047" Properties=species:S:1:pos:R:3 pbc="T T T"
Sr 0.000 0.000 0.000
Hg 3.052 0.000 1.655
Hg 1.522 2.636 1.655
Hg -1.526 2.643 1.655
Hg 1.526 2.643 7.392
Hg -1.522 2.636 7.392
Hg 3.044 0.000 7.392
Pb 0.000 3.519 4.524
Pb 3.048 1.760 4.524
```

* crystal system: hexagonal

***

<ii>
SrHg6Pb2 after structural relaxation, computed with PBE-GGA.

The structure in extended XYZ format:
```
9
Lattice="3.694 0.000 0.000 0.000 7.678 -4.433 0.000 0.000 8.865" Properties=species:S:1:pos:R:3 pbc="T T T"
Sr 0.000 0.000 8.865
Hg 1.847 2.567 1.482
Hg 1.847 5.111 2.951
Hg 1.847 0.000 5.901
Hg 1.847 5.111 5.915
Hg 1.847 2.567 -1.482
Hg 1.847 0.000 2.964
Pb 0.000 2.559 4.433
Pb 3.694 5.118 0.000
```

* crystal system: hexagonal

***

On energetic grounds, <ii> is preferred over the next structure by 98 meV per atom.